1.
## Sr2AsS4 (PBE)

Data for crystalline Sr2AsS4 at its relaxed geometry.

abc: 6.771 6.604 8.452
angles: 90.00 108.41 90.00
Space group P2_1/m (No. 11)
One atom of each set of equivalent atoms:
Sr (0.240, 0.250, 0.064) [2 per cell]
Sr (0.254, 0.250, 0.559) [2 per cell]
As (0.242, 0.750, 0.809) [2 per cell]
S (0.010, 0.005, 0.751) [4 per cell]
S (0.395, 0.750, 0.592) [2 per cell]
S (0.399, 0.750, 0.106) [2 per cell]

Results
Energy relative to the elements, uncorrected (eV/atom): -1.16


2.
## TbPm5Sm2Tl (PBE)

Data for crystalline TbPm5Sm2Tl at its relaxed geometry.

abc: 5.539 20.201 10.838
angles: 90.00 90.00 90.00
Space group Cmcm (No. 63)
One atom of each set of equivalent atoms:
Tb (0.000, 0.204, 0.250) [4 per cell]
Pm (0.000, 0.014, 0.250) [4 per cell]
Pm (0.000, 0.290, 0.550) [8 per cell]
Pm (0.000, 0.382, 0.250) [4 per cell]
Pm (0.000, 0.500, 0.000) [4 per cell]
Sm (0.000, 0.116, 0.547) [8 per cell]
Tl (0.000, 0.406, 0.750) [4 per cell]

Results
Formation energy (meV/atom): 11


3.
## Tl2GeW (PBE)

Data for crystalline Tl2GeW at its relaxed geometry.

abc: 4.026 4.026 21.941
angles: 90.00 90.00 90.00
Space group I-42d (No. 122)
One atom of each set of equivalent atoms:
Tl (0.245, 0.250, 0.125) [8 per cell]
Ge (0.000, 0.000, 0.500) [4 per cell]
W (0.000, 0.000, 0.000) [4 per cell]

Results
Formation energy (meV/atom): 1053
Energy above the lowest structure with this stoichiometry (eV/f.u.): 0.00


4.
## CeErAgPt (PBE)

Data for crystalline CeErAgPt at its relaxed geometry.

abc: 7.174 7.174 7.174
angles: 90.00 90.00 90.00
Space group F-43m (No. 216)
One atom of each set of equivalent atoms:
Ce (0.000, 0.000, 0.000) [4 per cell]
Er (0.000, 0.000, 0.500) [4 per cell]
Ag (0.250, 0.250, 0.750) [4 per cell]
Pt (0.250, 0.250, 0.250) [4 per cell]

Results
Formation energy (meV/atom): -647


5.
## Sr2OF (PBE)

Data for crystalline Sr2OF at its relaxed geometry.

abc: 3.7646 3.7646 18.6066
angles: 90.00 90.00 120.00
Space group R-3m (No. 166, hexagonal axes)
One atom of each set of equivalent atoms:
Sr (0.0000, 0.0000, 0.2432) [6 per cell]
O (0.0000, 0.0000, 0.5000) [3 per cell]
F (0.0000, 0.0000, 0.0000) [3 per cell]

Results
Energy relative to the elements, uncorrected (eV/atom): -2.55
Energy above the lowest structure with this stoichiometry (eV/f.u.): 0.30


6.
## Dy8Er3In (PBE)

Data for crystalline Dy8Er3In at its relaxed geometry.

abc: 22.204 3.513 9.410
angles: 90.00 93.08 90.00
Space group Cm (No. 8)
One atom of each set of equivalent atoms:
Dy (0.000, 0.000, 0.000) [2 per cell]
Dy (0.006, 0.500, 0.672) [2 per cell]
Dy (0.020, 0.000, 0.358) [2 per cell]
Dy (0.125, 0.500, 0.155) [2 per cell]
Dy (0.132, 0.000, 0.829) [2 per cell]
Dy (0.148, 0.500, 0.506) [2 per cell]
Dy (0.267, 0.500, 0.011) [2 per cell]
Dy (0.371, 0.500, 0.510) [2 per cell]
Er (0.260, 0.000, 0.676) [2 per cell]
Er (0.382, 0.000, 0.843) [2 per cell]
Er (0.393, 0.000, 0.191) [2 per cell]
In (0.254, 0.000, 0.323) [2 per cell]

Results
Formation energy (meV/atom): -37


7.
## La6Hg2RuO (PBE)

Data for crystalline La6Hg2RuO at its relaxed geometry.

abc: 7.538 10.659 7.537
angles: 90.00 90.00 90.00
Space group Pmmn (No. 59, origin choice 2)
One atom of each set of equivalent atoms:
La (0.008, 0.250, 0.012) [4 per cell]
La (0.011, 0.250, 0.492) [4 per cell]
La (0.250, 0.009, 0.252) [4 per cell]
Hg (0.250, 0.000, 0.749) [4 per cell]
Ru (0.250, 0.750, 0.249) [2 per cell]
O (0.250, 0.250, 0.248) [2 per cell]

Results
Energy relative to the elements, uncorrected (eV/atom): -0.71


8.
## Y3Ga2Ru3C (PBE)

Data for crystalline Y3Ga2Ru3C at its relaxed geometry.

abc: 7.2391 7.2391 3.4574
angles: 90.00 90.00 120.00
Space group P-62m (No. 189)
One atom of each set of equivalent atoms:
Y (0.0000, 0.6325, 0.0000) [3 per cell]
Ga (0.3333, 0.6667, 0.5000) [2 per cell]
Ru (0.0000, 0.2216, 0.5000) [3 per cell]
C (0.0000, 0.0000, 0.0000) [1 per cell]

Results
Formation energy (meV/atom): -273